(1)
Compound: PuSb3
Source: Alexandria via LeMat-Bulk
Functional: PBE
Structure: optimized geometry

Unit cell a=6.495 b=6.495 c=5.795 alpha=90.00 beta=90.00 gamma=120.00
Each line ends with the local moment (μB).
Fractional coordinates of all 8 atoms:
Sb: 0.173 0.827 0.250  -0.05
Sb: 0.173 0.347 0.250  -0.05
Sb: 0.347 0.173 0.750  -0.05
Sb: 0.827 0.173 0.750  -0.05
Sb: 0.653 0.827 0.250  -0.05
Sb: 0.827 0.653 0.750  -0.05
Pu: 0.333 0.667 0.750  5.22
Pu: 0.667 0.333 0.250  5.22

Computed properties:
formation energy without anion corrections	-0.336	eV/atom
calculated total energy	-0.515	Ry per atom
magnetization	5.1	μB/f.u.

---

(2)
Compound: Pu4Sb3
Source: Alexandria via LeMat-Bulk
Functional: PBE
Structure: optimized geometry

Unit cell a=8.040 b=8.040 c=8.040 alpha=109.47 beta=109.47 gamma=109.47
Each line ends with the local moment (μB).
Fractional coordinates of all 14 atoms:
Sb: 0.750 0.375 0.625  -0.14
Sb: 0.125 0.875 0.250  -0.14
Sb: 0.625 0.750 0.375  -0.14
Sb: 0.250 0.125 0.875  -0.14
Sb: 0.875 0.250 0.125  -0.14
Sb: 0.375 0.625 0.750  -0.14
Pu: 0.000 0.655 0.500  5.47
Pu: 0.155 0.500 0.000  5.47
Pu: 0.000 0.155 0.500  5.47
Pu: 0.500 0.000 0.155  5.47
Pu: 0.845 0.845 0.845  5.47
Pu: 0.345 0.345 0.345  5.47
Pu: 0.500 0.000 0.655  5.47
Pu: 0.655 0.500 0.000  5.47

Computed properties:
formation energy without anion corrections	-0.654	eV/atom
calculated total energy	-0.780	Ry per atom
magnetization	23.0	μB/f.u.

---

(3)
Compound: PuSb6
Source: Alexandria via LeMat-Bulk
Functional: PBE
Structure: optimized geometry

Unit cell a=7.266 b=7.266 c=7.266 alpha=109.47 beta=109.47 gamma=109.47
Each line ends with the local moment (μB).
Fractional coordinates of all 7 atoms:
Sb: 0.750 0.250 0.500  -0.01
Sb: 0.750 0.500 0.250  -0.01
Sb: 0.250 0.500 0.750  -0.01
Sb: 0.250 0.750 0.500  -0.01
Sb: 0.500 0.250 0.750  -0.01
Sb: 0.500 0.750 0.250  -0.01
Pu: 0.000 0.000 0.000  -5.97

Computed properties:
formation energy without anion corrections	0.524	eV/atom
calculated total energy	-0.372	Ry per atom
magnetization	6.4	μB/f.u.

---

(4)
Compound: PuSb3
Source: Alexandria via LeMat-Bulk
Functional: PBE
Structure: optimized geometry

Unit cell a=4.463 b=4.463 c=6.162 alpha=111.23 beta=111.23 gamma=90.00
Each line ends with the local moment (μB).
Fractional coordinates of all 4 atoms:
Sb: 0.500 0.500 0.000  -0.07
Sb: 0.250 0.750 0.500  -0.03
Sb: 0.750 0.250 0.500  -0.03
Pu: 0.000 0.000 0.000  5.19

Computed properties:
formation energy without anion corrections	-0.338	eV/atom
calculated total energy	-0.515	Ry per atom
magnetization	5.2	μB/f.u.

---

(5)
Compound: PuSb3
Source: Alexandria via LeMat-Bulk
Functional: PBE
Structure: optimized geometry

Unit cell a=4.512 b=4.468 c=11.110 alpha=101.68 beta=90.00 gamma=90.00
Each line ends with the local moment (μB).
Fractional coordinates of all 8 atoms:
Sb: 0.250 0.949 0.899  -0.06
Sb: 0.250 0.183 0.361  -0.03
Sb: 0.750 0.051 0.101  -0.06
Sb: 0.250 0.314 0.638  -0.03
Sb: 0.750 0.817 0.639  -0.03
Sb: 0.750 0.686 0.362  -0.03
Pu: 0.250 0.575 0.148  5.29
Pu: 0.750 0.425 0.852  5.29

Computed properties:
formation energy without anion corrections	-0.333	eV/atom
calculated total energy	-0.515	Ry per atom
magnetization	5.4	μB/f.u.

---

(6)
Compound: Pu4Sb
Source: Alexandria via LeMat-Bulk
Functional: PBE
Structure: optimized geometry

Unit cell a=5.851 b=5.851 c=5.851 alpha=90.00 beta=90.00 gamma=90.00
Each line ends with the local moment (μB).
Fractional coordinates of all 5 atoms:
Sb: 0.500 0.500 0.500  -0.07
Pu: 0.000 0.500 0.500  5.71
Pu: 0.000 0.000 0.000  5.89
Pu: 0.500 0.500 0.000  5.71
Pu: 0.500 0.000 0.500  5.71

Computed properties:
formation energy without anion corrections	0.636	eV/atom
calculated total energy	-0.857	Ry per atom
magnetization	26.2	μB/f.u.

---

Q: Which of these has the lowest formation energy without anion corrections?
A: Pu4Sb3